## K2AgSb2 (PBE)

Data for a relaxed K2AgSb2 crystal.

```
10
Lattice="-5.7141 -2.9982 -3.7754 2.0159 -6.8042 2.3523 -3.3738 0.6008 4.6291" Properties=species:S:1:pos:R:3 pbc="T T T"
Sb -3.6221 -6.9340 -1.7399
Sb -3.3757 -2.8738 -2.0873
Sb -0.3225 -6.9286 0.6642
Sb -0.0761 -2.8683 0.3168
K -1.2971 -4.7403 3.2528
K -5.7748 -4.4613 -0.0468
K -3.2518 -1.8349 1.4512
K -3.8202 -7.3666 1.7548
Ag -1.8491 -4.9012 -0.7115
Ag 0.0000 0.0000 0.0000
```

Calculated values
Total magnetic moment: 0.0 μB per formula unit
E above lowest polymorph: 25 meV per atom
Calculated volume: 32.192 Å³/atom
N(E_F): 1.889 states/eV/f.u.
SG: P4/mbm, No. 127
Uncorrected formation energy: -140 kJ/mol of formula units

=====

## KAgSb2 (PBE)

Data for a relaxed KAgSb2 crystal.

```
4
Lattice="-3.4053 3.2250 0.0190 -2.8924 -3.0665 2.0900 1.5187 1.5777 4.4167" Properties=species:S:1:pos:R:3 pbc="T T T"
Ag -0.9433 2.4013 2.2179
Sb 0.0000 0.0000 0.0000
Sb -3.1489 0.0792 1.0545
K -0.6869 -0.7444 3.2534
```

Calculated values
Total magnetic moment: 0.0 μB per formula unit
E above lowest polymorph: 193 meV per atom
Calculated volume: 27.197 Å³/atom
N(E_F): 1.642 states/eV/f.u.
SG: Pmmm, No. 47
Uncorrected formation energy: 20 kJ/mol of formula units